{"formula": "Mn2TePtO", "functional": "GGA+U", "state": "optimized geometry", "cell": [[4.081, 0.000, 0.000], [0.000, 5.286, 0.000], [0.000, 0.000, 4.081]], "species": ["Mn", "Mn", "Te", "O", "Pt"], "frac_coords": [[0.000, 0.000, 0.500], [0.500, 0.000, 0.000], [0.000, 0.500, 0.000], [0.000, 0.000, 0.000], [0.500, 0.500, 0.500]], "total_energy_ev_per_atom": -6.122, "space_group": "P4/mmm, No. 123", "dos_ef_per_ev_atom": 0.36, "relative_energy_mev_per_atom": 0}